Entry 1:
# TlCr2Te | the Alexandria database | GGA-PBE | relaxed
data_TlCr2Te
_cell_length_a 4.854
_cell_length_b 4.854
_cell_length_c 3.704
_cell_angle_alpha 90.00
_cell_angle_beta 90.00
_cell_angle_gamma 90.07
_space_group_name_H-M_alt 'P 1'
_space_group_IT_number 1
_space_group_name_Hall 'P 1'
loop_
_atom_site_label
_atom_site_type_symbol
_atom_site_fract_x
_atom_site_fract_y
_atom_site_fract_z
_atom_site_occupancy
Tl1 Tl 0.000 0.000 0.000 1
Cr1 Cr 0.000 0.500 0.500 1
Cr2 Cr 0.500 0.000 0.500 1
Te1 Te 0.500 0.500 0.000 1
# final energy = -5.66 eV per atom
# ΔE to the lowest computed polymorph = 0.1864 eV per atom
# space group = No. 65

---

Entry 2:
# YHo5Tm7 | the Alexandria database | GGA-PBE | relaxed
data_YHo5Tm7
_cell_length_a 8.582
_cell_length_b 8.582
_cell_length_c 8.582
_cell_angle_alpha 134.61
_cell_angle_beta 100.34
_cell_angle_gamma 96.79
_space_group_name_H-M_alt 'P 1'
_space_group_IT_number 1
_space_group_name_Hall 'P 1'
loop_
_atom_site_label
_atom_site_type_symbol
_atom_site_fract_x
_atom_site_fract_y
_atom_site_fract_z
_atom_site_occupancy
Y1 Y 0.000 0.000 0.000 1
Ho1 Ho 0.030 0.034 0.459 1
Ho2 Ho 0.030 0.570 0.995 1
Ho3 Ho 0.297 0.797 0.500 1
Ho4 Ho 0.575 0.034 0.005 1
Ho5 Ho 0.575 0.570 0.541 1
Tm1 Tm 0.223 0.550 0.673 1
Tm2 Tm 0.310 0.310 0.000 1
Tm3 Tm 0.385 0.052 0.333 1
Tm4 Tm 0.614 0.614 0.000 1
Tm5 Tm 0.719 0.052 0.667 1
Tm6 Tm 0.803 0.303 0.500 1
Tm7 Tm 0.877 0.550 0.327 1
# final energy = -4.41 eV per atom
# space group = No. 44
# energy relative to the elements = 0.258 eV per atom